Entry 1:
Er8SiP3Se4 | Alexandria via LeMat-Bulk | PBE | relaxed; DFT total energy = -98.5 eV for the cell shown; raw formation energy = -1.6505 eV per atom; M_tot = 0.00 μB per cell
1.0
4.008 2.314 6.645
-4.008 2.314 6.645
0.000 -4.628 6.645
Er Si P Se
8 1 3 4
direct
0.242 0.242 0.242
0.243 0.744 0.744
0.256 0.256 0.757
0.256 0.757 0.256
0.744 0.243 0.744
0.744 0.744 0.243
0.757 0.256 0.256
0.758 0.758 0.758
0.500 0.500 0.500
0.000 0.000 0.500
0.000 0.500 0.000
0.500 0.000 0.000
0.000 0.000 0.000
0.000 0.500 0.500
0.500 0.000 0.500
0.500 0.500 0.000

---

Entry 2:
Er6Si2PSe3 | Alexandria via LeMat-Bulk | PBE | relaxed; DFT total energy = -71.5 eV for the cell shown; raw formation energy = -1.4545 eV per atom; M_tot = 0.00 μB per cell
1.0
8.864 -2.023 0.000
8.864 2.023 0.000
-1.934 0.000 7.918
Er Si P Se
6 2 1 3
direct
0.005 0.005 0.239
0.331 0.331 0.425
0.338 0.338 0.908
0.662 0.662 0.092
0.669 0.669 0.575
0.995 0.995 0.761
0.166 0.166 0.332
0.834 0.834 0.668
0.500 0.500 0.000
0.165 0.165 0.834
0.500 0.500 0.500
0.835 0.835 0.166

---

Entry 3:
Er6SiP2Se3 | Alexandria via LeMat-Bulk | PBE | relaxed; DFT total energy = -73.4 eV for the cell shown; raw formation energy = -1.6097 eV per atom; M_tot = 0.00 μB per cell
1.0
8.823 -2.008 0.000
8.823 2.008 0.000
-1.964 0.000 7.860
Er Si P Se
6 1 2 3
direct
0.004 0.004 0.241
0.328 0.328 0.428
0.338 0.338 0.905
0.662 0.662 0.095
0.672 0.672 0.572
0.996 0.996 0.759
0.500 0.500 0.000
0.167 0.167 0.335
0.833 0.833 0.665
0.168 0.168 0.832
0.500 0.500 0.500
0.832 0.832 0.168

---

Entry 4:
Er4SnPSe2 | Alexandria via LeMat-Bulk | PBE | relaxed; DFT total energy = -46.2 eV for the cell shown; raw formation energy = -1.4396 eV per atom; M_tot = 0.00 μB per cell
1.0
7.131 0.000 0.000
0.000 4.103 0.000
-2.373 0.000 6.755
Er Sn P Se
4 1 1 2
direct
0.236 0.000 0.235
0.247 0.500 0.761
0.753 0.500 0.239
0.764 0.000 0.765
0.000 0.000 0.500
0.000 0.500 0.000
0.500 0.000 0.000
0.500 0.500 0.500

---

Entry 5:
Er6SnP2Se3 | Alexandria via LeMat-Bulk | PBE | relaxed; DFT total energy = -71.2 eV for the cell shown; raw formation energy = -1.5432 eV per atom; M_tot = 0.00 μB per cell
1.0
8.907 -2.024 0.000
8.907 2.024 0.000
-1.909 0.000 8.009
Er Sn P Se
6 1 2 3
direct
0.007 0.007 0.261
0.327 0.327 0.428
0.330 0.330 0.895
0.670 0.670 0.105
0.673 0.673 0.572
0.993 0.993 0.739
0.500 0.500 0.000
0.168 0.168 0.337
0.832 0.832 0.663
0.165 0.165 0.832
0.500 0.500 0.500
0.835 0.835 0.168

---

Entry 6:
TbErPSe | Alexandria via LeMat-Bulk | PBE | relaxed; DFT total energy = -74.9 eV for the cell shown; raw formation energy = -1.7170 eV per atom; M_tot = 0.00 μB per cell
1.0
3.958 0.000 0.000
-1.979 3.427 0.000
0.000 0.000 20.844
Tb Er P Se
3 3 3 3
direct
0.000 0.000 0.000
0.333 0.667 0.667
0.667 0.333 0.333
0.000 0.000 0.815
0.333 0.667 0.482
0.667 0.333 0.148
0.000 0.000 0.411
0.333 0.667 0.077
0.667 0.333 0.744
0.000 0.000 0.239
0.333 0.667 0.905
0.667 0.333 0.572